(1)
RbNaTe2Se4 GGA-PBE relaxed; E_form (uncorrected) = -426.3 meV per atom
1.0
-6.599 2.024 -2.136
-1.864 -0.928 -7.342
-6.019 -3.741 2.831
Na Se Te Rb
1 4 2 1
Cartesian
-3.942 -2.335 -2.256
-8.087 1.200 -5.043
-5.034 -2.924 -4.937
-5.817 -0.835 -0.535
-10.026 -2.732 -2.779
-8.281 -2.027 -0.777
-6.201 -0.618 -5.870
0.000 0.000 0.000


(2)
Pm6Si2SBr3 GGA-PBE relaxed; E_form (uncorrected) = -1276.8 meV per atom
1.0
-1.025 3.994 5.934
-4.242 -5.704 -1.294
6.395 -3.714 2.137
Pm Br Si S
6 3 2 1
Cartesian
-0.457 -2.768 0.323
1.585 -2.656 6.453
0.518 -5.873 4.056
3.702 -3.404 2.920
-2.574 -2.021 3.857
0.610 0.449 2.721
1.627 0.494 5.777
-0.499 -5.918 0.999
0.564 -2.712 3.388
-2.098 0.759 3.523
-3.169 -2.470 1.117
0.000 0.000 0.000


(3)
Sr2LiIn6Pd GGA-PBE relaxed; E_tot = -29.44 eV per formula unit
1.0
-2.601 -6.476 2.217
1.102 -2.761 -6.692
4.036 -6.062 -0.851
In Li Sr Pd
6 1 2 1
Cartesian
1.578 -5.320 -1.563
0.959 -9.979 -3.763
-1.650 -5.522 -0.072
-0.383 -2.373 -1.149
2.919 -12.926 -4.177
0.151 -3.715 -4.404
-0.750 -4.618 -2.238
2.194 -6.720 -4.891
0.342 -8.579 -0.435
0.000 0.000 0.000


(4)
SrSm5Tl3 GGA-PBE relaxed; E_tot = -34.73 eV per formula unit
1.0
6.984 0.000 0.000
0.000 9.609 0.000
0.000 -4.805 8.321
Sm Tl Sr
10 6 2
Cartesian
1.746 1.635 2.831
5.238 3.270 0.000
3.492 0.000 5.546
5.238 3.169 5.490
0.000 0.000 5.546
1.746 6.339 0.000
5.238 7.974 2.831
0.000 4.805 2.775
1.746 -3.169 5.490
3.492 4.805 2.775
1.746 3.180 0.000
1.746 -1.589 2.753
5.238 6.394 5.568
1.746 3.215 5.568
5.238 6.429 0.000
5.238 1.589 2.753
0.000 0.000 0.000
3.492 0.000 0.000


(5)
SrHoSeS GGA-PBE relaxed; E_form (uncorrected) = -1842.6 meV per atom
1.0
4.034 -0.001 0.000
-2.016 3.494 0.000
-2.016 -1.164 7.269
Sr S Ho Se
1 1 1 1
Cartesian
2.398 0.910 2.644
0.381 -0.256 4.686
-1.635 0.909 6.306
-1.635 3.239 0.680


(6)
KHoSiO4 GGA-PBE relaxed; E_form (uncorrected) = -2902.4 meV per atom
1.0
-0.825 0.995 5.423
-2.264 -5.151 0.601
6.659 -2.990 -0.549
O Ho K Si
8 2 2 2
Cartesian
2.690 -3.551 5.047
0.880 -3.595 0.428
4.298 -3.119 2.775
3.713 -1.224 4.775
1.648 -5.094 2.509
1.922 -2.053 2.966
-0.143 -5.922 0.700
-0.728 -4.027 2.700
2.876 -2.700 1.008
0.694 -4.446 4.467
-0.334 -1.196 1.810
3.904 -5.950 3.665
0.339 -4.622 1.617
3.231 -2.524 3.858


(7)
NdEr5Tl4 GGA-PBE relaxed; E_tot = -39.59 eV per formula unit
1.0
3.591 0.000 0.000
0.000 3.591 0.000
0.000 0.000 21.776
Er Tl Nd
5 4 1
Cartesian
1.796 1.796 19.223
1.796 1.796 15.070
1.796 1.796 10.888
1.796 1.796 6.706
1.796 1.796 2.553
0.000 0.000 4.626
0.000 0.000 12.974
0.000 0.000 8.802
0.000 0.000 17.150
0.000 0.000 0.000


(8)
Dy4TeIrSe2 GGA-PBE relaxed; E_form (uncorrected) = -1384.8 meV per atom
1.0
4.084 0.000 0.000
0.000 7.301 -0.201
0.000 2.516 6.902
Te Dy Se Ir
1 4 2 1
Cartesian
2.042 3.651 -0.101
0.000 7.284 4.826
2.042 6.042 1.802
4.084 2.534 1.875
2.042 3.776 4.898
0.000 2.517 6.902
2.042 1.258 3.451
0.000 4.909 3.350


(9)
LaBe2Pt4 GGA-PBE relaxed; E_tot = -42.17 eV per formula unit
1.0
-2.398 -2.922 -0.494
4.227 -4.270 4.742
-4.188 2.435 5.926
Be Pt La
4 8 2
Cartesian
-2.249 0.889 5.653
-1.170 -2.802 7.546
-1.188 -1.956 2.628
2.288 -2.725 5.015
-1.018 -0.628 8.652
1.057 -1.208 2.016
-2.881 -1.248 6.657
0.523 -3.510 3.517
0.533 -3.968 6.176
-1.041 0.463 2.312
-2.891 -0.790 3.998
1.080 -2.299 8.357
0.020 -0.918 5.334
-1.199 -1.461 -0.247